Density functional theory data (PBE with a Hubbard U) for a relaxed structure of FeSbNO2.

Geometry as extended XYZ:
```
5
Lattice="3.944 0.000 0.000 0.000 3.944 0.000 0.000 0.000 4.040" Properties=species:S:1:pos:R:3 pbc="T T T"
Sb 0.000 0.000 0.000
Fe 1.972 1.972 2.020
O 0.000 1.972 0.000
O 1.972 0.000 0.000
N 0.000 0.000 2.020
```

Output
magnetization: 4.0 μB per formula unit
final energy: -5.7405 eV/atom
symmetry: P4/mmm
ρ: 5.91 g/cm³